Record 1
A plane-wave DFT calculation with PBE was carried out for a geometry-optimized Ni structure.

calculated formation energy	214	meV/atom

```
24
Lattice="4.589 0.000 0.000 -2.294 3.974 0.000 0.000 0.000 14.911" Properties=species:S:1:pos:R:3 pbc="T T T"
Ni 0.000 2.649 5.571
Ni 0.000 2.649 9.775
Ni 2.294 1.325 2.320
Ni -1.147 1.987 7.455
Ni 1.147 1.987 7.455
Ni 2.294 0.000 0.000
Ni 3.472 0.645 11.183
Ni 0.000 0.000 1.388
Ni 2.294 1.325 13.026
Ni 2.294 1.325 9.340
Ni 1.147 1.987 0.000
Ni 0.000 1.290 3.728
Ni 0.000 0.000 13.523
Ni 2.294 1.325 5.136
Ni 0.000 0.000 6.067
Ni 0.000 0.000 8.843
Ni 0.000 2.649 1.884
Ni 2.294 2.684 11.183
Ni 2.294 0.000 7.455
Ni -1.178 3.329 3.728
Ni 0.000 2.649 12.591
Ni 1.117 0.645 11.183
Ni -1.147 1.987 0.000
Ni 1.178 3.329 3.728
```


Record 2
A plane-wave DFT calculation with PBE was carried out for a geometry-optimized Ni structure.

calculated formation energy	2181	meV/atom

```
4
Lattice="-0.033 1.750 -2.769 2.181 -2.413 0.386 -2.898 -2.908 -1.802" Properties=species:S:1:pos:R:3 pbc="T T T"
Ni 0.718 -1.753 -1.116
Ni -2.174 -2.181 -1.352
Ni -1.469 -1.819 -3.069
Ni -0.725 -0.727 -0.451
```


Record 3
A plane-wave DFT calculation with PBE was carried out for a geometry-optimized Ni structure.

calculated formation energy	200	meV/atom

```
12
Lattice="4.597 0.000 0.000 -2.298 3.981 0.000 0.000 0.000 7.407" Properties=species:S:1:pos:R:3 pbc="T T T"
Ni 2.298 1.327 6.940
Ni 1.121 3.301 5.555
Ni 1.178 0.680 1.852
Ni 0.000 0.000 0.000
Ni 3.419 0.680 1.852
Ni 0.000 0.000 3.703
Ni -1.121 3.301 5.555
Ni 0.000 2.654 0.467
Ni 2.298 2.621 1.852
Ni 2.298 1.327 4.170
Ni 0.000 2.654 3.236
Ni 0.000 1.360 5.555
```


Record 4
A plane-wave DFT calculation with PBE was carried out for a geometry-optimized Ni structure.

calculated formation energy	170	meV/atom

```
16
Lattice="-1.456 1.636 -1.140 -2.536 -2.405 -0.214 -11.789 9.829 29.172" Properties=species:S:1:pos:R:3 pbc="T T T"
Ni -5.042 2.155 6.860
Ni -2.646 2.206 6.548
Ni -5.243 4.371 12.974
Ni -6.112 5.095 15.123
Ni -6.804 3.624 11.220
Ni -3.497 2.915 8.652
Ni -9.416 5.801 17.683
Ni -11.138 7.238 21.945
Ni -8.546 5.076 15.530
Ni -7.671 4.347 13.367
Ni -7.854 6.548 19.434
Ni -5.933 2.898 9.066
Ni -10.287 6.528 19.839
Ni -4.370 3.643 10.813
Ni -8.743 7.289 21.633
Ni -6.980 5.819 17.272
```


Record 5
A plane-wave DFT calculation with PBE was carried out for a geometry-optimized Ni structure.

calculated formation energy	263	meV/atom

```
4
Lattice="-0.323 -2.509 0.274 -0.443 -0.371 -3.918 4.059 -0.784 -2.387" Properties=species:S:1:pos:R:3 pbc="T T T"
Ni 2.770 -1.878 -2.137
Ni 2.710 -0.814 -4.233
Ni 0.523 -1.786 -3.893
Ni 0.583 -2.850 -1.797
```


Record 6
A plane-wave DFT calculation with PBE was carried out for a geometry-optimized Ni structure.

calculated formation energy	227	meV/atom

```
18
Lattice="-4.191 -0.632 -0.352 -2.290 -3.507 -0.739 -1.498 -4.716 27.690" Properties=species:S:1:pos:R:3 pbc="T T T"
Ni -7.591 -8.451 25.499
Ni -1.482 -3.826 21.152
Ni -1.149 -1.206 3.311
Ni -4.121 -5.702 22.127
Ni -4.916 -6.532 24.381
Ni -4.969 -3.436 1.114
Ni -6.497 -5.030 5.447
Ni -5.690 -7.341 26.595
Ni -0.388 -0.405 1.100
Ni -5.733 -4.239 3.324
Ni -2.289 -1.514 0.004
Ni -2.245 -4.616 23.274
Ni -6.045 -6.833 21.074
Ni -1.934 -2.023 5.525
Ni -3.858 -3.153 4.472
Ni -3.062 -2.324 2.218
Ni -3.010 -5.419 25.485
Ni -6.830 -7.650 23.288
```


Record 7
A plane-wave DFT calculation with PBE was carried out for a geometry-optimized Ni structure.

calculated formation energy	517	meV/atom

```
4
Lattice="-0.201 -3.966 -2.308 -2.068 3.319 2.409 0.333 2.550 -3.806" Properties=species:S:1:pos:R:3 pbc="T T T"
Ni -0.251 -0.435 -1.516
Ni -0.351 -2.418 -2.670
Ni -0.184 -1.143 -4.573
Ni -1.218 0.517 -3.368
```


Record 8
A plane-wave DFT calculation with PBE was carried out for a geometry-optimized Ni structure.

calculated formation energy	121	meV/atom

```
3
Lattice="-0.487 -0.133 3.941 1.830 -2.986 -1.877 2.106 1.104 0.298" Properties=species:S:1:pos:R:3 pbc="T T T"
Ni 0.000 0.000 0.000
Ni 2.111 -1.483 0.211
Ni 1.338 -0.532 2.150
```


Record 9
A plane-wave DFT calculation with PBE was carried out for a geometry-optimized Ni structure.

calculated formation energy	34	meV/atom

```
1
Lattice="0.693 1.040 -2.060 0.341 -1.443 -1.899 -2.274 0.368 0.706" Properties=species:S:1:pos:R:3 pbc="T T T"
Ni 0.000 0.000 0.000
```


Record 10
A plane-wave DFT calculation with PBE was carried out for a geometry-optimized Ni structure.

calculated formation energy	212	meV/atom

```
18
Lattice="-2.627 -2.677 2.001 0.327 -2.066 3.701 -11.957 21.687 12.982" Properties=species:S:1:pos:R:3 pbc="T T T"
Ni -4.475 6.775 5.341
Ni -3.270 5.473 3.714
Ni -7.658 5.422 11.359
Ni -4.809 4.725 6.658
Ni -6.598 11.521 7.324
Ni -5.184 2.721 8.030
Ni -9.073 14.222 10.654
Ni -8.544 8.811 11.680
Ni -9.782 10.169 13.343
Ni -6.953 9.490 8.671
Ni -9.448 12.219 12.025
Ni -6.424 4.065 9.702
Ni -10.987 11.471 14.970
Ni -7.833 12.878 8.982
Ni -5.712 8.132 7.004
Ni -6.066 6.097 8.349
Ni -7.303 7.453 10.012
Ni -8.191 10.847 10.334
```


Record 11
A plane-wave DFT calculation with PBE was carried out for a geometry-optimized Ni structure.

calculated formation energy	140	meV/atom

```
9
Lattice="-0.733 1.900 1.392 -1.345 -0.693 -1.949 -16.176 -19.497 18.096" Properties=species:S:1:pos:R:3 pbc="T T T"
Ni -8.088 -9.749 9.048
Ni -4.939 -5.953 5.526
Ni -11.327 -12.106 10.560
Ni -8.180 -8.313 7.040
Ni -6.927 -6.184 6.980
Ni -5.031 -4.517 3.516
Ni -13.223 -13.773 14.023
Ni -11.237 -13.544 12.571
Ni -10.074 -9.977 10.500
```


Record 12
A plane-wave DFT calculation with PBE was carried out for a geometry-optimized Ni structure.

calculated formation energy	163	meV/atom

```
13
Lattice="0.167 -3.185 7.801 1.410 1.209 8.221 -3.027 0.105 7.865" Properties=species:S:1:pos:R:3 pbc="T T T"
Ni -0.945 -1.219 15.565
Ni 0.000 0.000 0.000
Ni 0.177 -1.757 17.867
Ni -1.210 -1.561 19.925
Ni -0.656 -0.847 10.806
Ni -0.794 -1.025 13.080
Ni -0.241 -0.310 3.961
Ni 0.569 0.432 6.196
Ni -2.019 -2.303 17.690
Ni -0.505 -0.652 8.321
Ni -0.047 -1.743 5.988
Ni -1.404 -0.128 17.898
Ni -1.627 -0.115 6.019
```


Volume / Å³ per cell: 271.9, 41.7, 135.5, 285.0, 43.8, 378.8, 46.5, 32.8, 10.5, 375.9, 164.1, 145.7